# Co2NiO4

Crystalline Co2NiO4 at its relaxed geometry (PBE with a Hubbard U, Alexandria).

Output
- calculated density (g/cm3) = 5.93
- polymorph energy (0 for the lowest one) (meV per atom) = 0
- total DFT energy (no corrections) (eV for the cell shown) = -158.3

Unit cell a=5.744 b=5.923 c=7.925 alpha=90.00 beta=90.00 gamma=90.00
Space group Imma (No. 74)
Symmetry-distinct sites (fractional):
Co  0.000  0.000  0.000
Co  0.250  0.250  0.250
Ni  0.000  0.250  0.634
O  0.000  0.036  0.241
O  0.220  0.250  0.007